a | Density functional theory data (PBE) for crystalline Na4Tl2Pb at its relaxed geometry.

Results
The magnetization is 0.000 μB/f.u. The symmetry is P2/m, No. 10.

abc: 3.421 8.647 8.319
angles: 119.87 90.00 90.00
Fractional positions:
1 Na 0.000 0.510 0.233
2 Na 0.500 0.322 0.471
3 Na 0.000 0.633 0.910
4 Na 0.500 0.820 0.672
5 Tl 0.500 0.895 0.323
6 Tl 0.500 0.248 0.820
7 Pb 0.000 0.071 0.071

=====

b | Density functional theory data (PBE) for crystalline Na4Tl2Pb at its relaxed geometry.

Results
The magnetization is 0.000 μB/f.u. The symmetry is I4/mmm, No. 139.

abc: 5.905 5.905 8.936
angles: 70.71 70.71 90.00
Fractional positions:
1 Tl 0.400 0.400 0.200
2 Tl 0.600 0.600 0.800
3 Na 0.197 0.197 0.606
4 Na 0.803 0.803 0.394
5 Na 0.000 0.500 0.000
6 Na 0.500 0.000 0.000
7 Pb 0.000 0.000 0.000

=====

The most stable arrangement is a, and the next structure is 129 meV per atom less stable.

=====

a | Density functional theory data (PBE) for crystalline Na2TlPb8 at its relaxed geometry.

Results
The magnetization is 0.000 μB/f.u. The symmetry is C2/m, No. 12.

abc: 5.854 8.371 8.371
angles: 68.94 79.86 79.86
Fractional positions:
1 Pb 0.328 0.379 0.379
2 Pb 0.217 0.780 0.356
3 Pb 0.075 0.753 0.753
4 Pb 0.925 0.247 0.247
5 Pb 0.783 0.644 0.220
6 Pb 0.783 0.220 0.644
7 Pb 0.217 0.356 0.780
8 Pb 0.672 0.621 0.621
9 Na 0.482 0.133 0.133
10 Na 0.518 0.867 0.867
11 Tl 0.000 0.000 0.000

=====

b | Density functional theory data (PBE) for crystalline Na2TlPb8 at its relaxed geometry.

Results
The magnetization is 0.000 μB/f.u. The symmetry is P-1, No. 2.

abc: 6.145 6.761 9.106
angles: 111.74 87.84 90.35
Fractional positions:
1 Pb 0.163 0.168 0.338
2 Pb 0.664 0.416 0.330
3 Pb 0.999 0.247 0.999
4 Pb 0.001 0.753 0.001
5 Pb 0.661 0.914 0.329
6 Pb 0.339 0.086 0.671
7 Pb 0.336 0.584 0.670
8 Pb 0.837 0.832 0.662
9 Na 0.180 0.660 0.323
10 Na 0.820 0.340 0.677
11 Tl 0.500 0.000 0.000

=====

The most stable arrangement is b, and the next structure is 78 meV per atom less stable.

=====

a | Density functional theory data (PBE) for crystalline Na5TlPb2 at its relaxed geometry.

Results
The magnetization is 0.000 μB/f.u. The symmetry is I4/mcm, No. 140.

abc: 8.773 8.773 8.874
angles: 119.62 119.62 90.00
Fractional positions:
1 Pb 0.635 0.135 0.000
2 Pb 0.135 0.365 0.000
3 Pb 0.365 0.865 0.000
4 Pb 0.865 0.635 0.000
5 Na 0.000 0.000 0.000
6 Na 0.999 0.499 0.316
7 Na 0.500 0.500 0.000
8 Na 0.817 0.999 0.316
9 Na 0.317 0.817 0.316
10 Na 0.499 0.317 0.316
11 Na 0.683 0.183 0.684
12 Na 0.183 0.001 0.684
13 Na 0.501 0.683 0.684
14 Na 0.001 0.501 0.684
15 Tl 0.250 0.250 0.500
16 Tl 0.750 0.750 0.500

=====

b | Density functional theory data (PBE) for crystalline Na5TlPb2 at its relaxed geometry.

Results
The magnetization is 0.000 μB/f.u. The symmetry is I4mm, No. 107.

abc: 6.699 6.699 6.699
angles: 107.84 107.84 112.78
Fractional positions:
1 Tl 0.778 0.778 0.000
2 Na 0.278 0.278 0.500
3 Na 0.278 0.778 0.000
4 Na 0.778 0.778 0.500
5 Na 0.278 0.277 0.000
6 Na 0.778 0.278 0.000
7 Pb 0.277 0.778 0.500
8 Pb 0.777 0.278 0.500

=====

The most stable arrangement is b, and the next structure is 30 meV per atom less stable.

=====

a | Density functional theory data (PBE) for crystalline Na2Tl4Pb5 at its relaxed geometry.

Results
The magnetization is 0.000 μB/f.u. The symmetry is C2/m, No. 12.

abc: 3.517 8.305 13.422
angles: 119.04 97.53 90.00
Fractional positions:
1 Pb 0.186 0.906 0.372
2 Pb 0.868 0.802 0.735
3 Pb 0.132 0.198 0.265
4 Pb 0.814 0.094 0.628
5 Pb 0.500 0.000 0.000
6 Na 0.584 0.474 0.169
7 Na 0.416 0.526 0.831
8 Tl 0.722 0.615 0.443
9 Tl 0.043 0.737 0.086
10 Tl 0.278 0.385 0.557
11 Tl 0.957 0.263 0.914

=====

b | Density functional theory data (PBE) for crystalline Na2Tl4Pb5 at its relaxed geometry.

Results
The magnetization is 0.000 μB/f.u. The symmetry is C2/m, No. 12.

abc: 3.511 8.411 15.004
angles: 51.46 96.72 90.00
Fractional positions:
1 Tl 0.925 0.876 0.849
2 Tl 0.637 0.659 0.275
3 Tl 0.363 0.341 0.725
4 Tl 0.075 0.124 0.151
5 Pb 0.500 0.000 0.000
6 Pb 0.809 0.801 0.619
7 Pb 0.191 0.199 0.381
8 Pb 0.221 0.740 0.441
9 Pb 0.779 0.260 0.559
10 Na 0.558 0.509 0.115
11 Na 0.442 0.491 0.885

=====

The most stable arrangement is a, and the next structure is 22 meV per atom less stable.

=====

a | Density functional theory data (PBE) for crystalline Na3Tl8Pb2 at its relaxed geometry.

Results
The magnetization is 0.000 μB/f.u. The symmetry is Cmmm, No. 65.

abc: 5.601 7.731 10.212
angles: 112.24 90.01 90.00
Fractional positions:
1 Na 0.500 0.000 0.000
2 Na 0.000 0.717 0.000
3 Na 0.000 0.283 0.000
4 Tl 0.000 0.327 0.655
5 Tl 0.000 0.863 0.727
6 Tl 0.000 0.673 0.345
7 Tl 0.500 0.400 0.216
8 Tl 0.500 0.600 0.784
9 Tl 0.000 0.137 0.273
10 Tl 0.500 0.816 0.216
11 Tl 0.500 0.184 0.784
12 Pb 0.500 0.234 0.469
13 Pb 0.500 0.766 0.531

=====

b | Density functional theory data (PBE) for crystalline Na3Tl8Pb2 at its relaxed geometry.

Results
The magnetization is 0.000 μB/f.u. The symmetry is R-3m, No. 166.

abc: 6.375 6.375 12.530
angles: 75.26 75.26 60.00
Fractional positions:
1 Tl 0.728 0.225 0.320
2 Tl 0.728 0.728 0.320
3 Tl 0.225 0.728 0.320
4 Tl 0.775 0.272 0.680
5 Tl 0.725 0.725 0.826
6 Tl 0.272 0.775 0.680
7 Tl 0.272 0.272 0.680
8 Tl 0.275 0.275 0.174
9 Na 0.815 0.815 0.555
10 Na 0.185 0.185 0.445
11 Na 0.000 0.000 0.000
12 Pb 0.362 0.362 0.915
13 Pb 0.638 0.638 0.085

=====

The most stable arrangement is a, and the next structure is 23 meV per atom less stable.

=====

a | Density functional theory data (PBE) for crystalline Na5Tl2Pb2 at its relaxed geometry.

Results
The magnetization is 0.000 μB/f.u. The symmetry is C2/m, No. 12.

abc: 5.524 6.301 9.576
angles: 62.23 73.24 64.01
Fractional positions:
1 Tl 0.670 0.634 0.027
2 Tl 0.330 0.366 0.973
3 Na 0.881 0.561 0.678
4 Na 0.439 0.799 0.323
5 Na 0.561 0.201 0.677
6 Na 0.119 0.439 0.322
7 Na 0.000 0.000 0.000
8 Pb 0.218 0.915 0.649
9 Pb 0.782 0.085 0.351

=====

b | Density functional theory data (PBE) for crystalline Na5Tl2Pb2 at its relaxed geometry.

Results
The magnetization is 0.000 μB/f.u. The symmetry is Cmce, No. 64.

abc: 6.731 10.271 9.475
angles: 122.82 90.00 90.00
Fractional positions:
1 Na 0.749 0.404 0.307
2 Na 0.500 0.500 0.000
3 Na 0.249 0.096 0.693
4 Na 0.251 0.903 0.307
5 Na 0.749 0.097 0.693
6 Na 0.751 0.597 0.693
7 Na 0.251 0.596 0.693
8 Na 0.249 0.403 0.307
9 Na 0.000 0.000 0.000
10 Na 0.751 0.904 0.307
11 Tl 0.001 0.647 0.000
12 Tl 0.501 0.853 0.000
13 Tl 0.999 0.353 0.000
14 Tl 0.499 0.147 0.000
15 Pb 0.500 0.777 0.554
16 Pb 0.000 0.723 0.446
17 Pb 0.000 0.277 0.554
18 Pb 0.500 0.223 0.446

=====

The most stable arrangement is a, and the next structure is 58 meV per atom less stable.

=====

a | Density functional theory data (PBE) for crystalline Na3TlPb2 at its relaxed geometry.

Results
The magnetization is 0.000 μB/f.u. The symmetry is Cmcm, No. 63.

abc: 6.525 8.005 8.005
angles: 111.34 90.00 90.00
Fractional positions:
1 Na 0.500 0.237 0.763
2 Na 0.000 0.237 0.763
3 Na 0.500 0.763 0.237
4 Na 0.250 0.591 0.591
5 Na 0.000 0.763 0.237
6 Na 0.750 0.409 0.409
7 Pb 0.750 0.854 0.627
8 Pb 0.750 0.627 0.854
9 Pb 0.250 0.146 0.373
10 Pb 0.250 0.373 0.146
11 Tl 0.750 0.070 0.070
12 Tl 0.250 0.930 0.930

=====

b | Density functional theory data (PBE) for crystalline Na3TlPb2 at its relaxed geometry.

Results
The magnetization is 0.000 μB/f.u. The symmetry is P2_1/m, No. 11.

abc: 5.556 6.826 9.390
angles: 100.50 90.00 90.00
Fractional positions:
1 Pb 0.750 0.464 0.891
2 Pb 0.750 0.133 0.557
3 Pb 0.250 0.536 0.109
4 Pb 0.250 0.867 0.443
5 Na 0.750 0.633 0.567
6 Na 0.750 0.970 0.888
7 Na 0.750 0.788 0.233
8 Na 0.250 0.030 0.112
9 Na 0.250 0.367 0.433
10 Na 0.250 0.212 0.767
11 Tl 0.250 0.719 0.782
12 Tl 0.750 0.281 0.218

=====

The most stable arrangement is b, and the next structure is 60 meV per atom less stable.

=====

a | Density functional theory data (PBE) for crystalline Na6Tl3Pb2 at its relaxed geometry.

Results
The magnetization is 0.000 μB/f.u. The symmetry is I4/mmm, No. 139.

abc: 6.109 6.109 11.660
angles: 105.19 105.19 90.00
Fractional positions:
1 Tl 0.857 0.857 0.715
2 Tl 0.000 0.000 0.000
3 Tl 0.143 0.143 0.285
4 Na 0.411 0.911 0.823
5 Na 0.089 0.589 0.177
6 Na 0.589 0.089 0.177
7 Na 0.911 0.411 0.823
8 Na 0.287 0.287 0.574
9 Na 0.713 0.713 0.426
10 Pb 0.430 0.430 0.861
11 Pb 0.570 0.570 0.139

=====

b | Density functional theory data (PBE) for crystalline Na6Tl3Pb2 at its relaxed geometry.

Results
The magnetization is 0.000 μB/f.u. The symmetry is C2/m, No. 12.

abc: 5.490 5.490 23.717
angles: 45.70 45.70 70.45
Fractional positions:
1 Tl 0.191 0.191 0.630
2 Tl 0.000 0.000 0.000
3 Tl 0.809 0.809 0.370
4 Na 0.672 0.672 0.567
5 Na 0.324 0.830 0.855
6 Na 0.830 0.324 0.855
7 Na 0.328 0.328 0.433
8 Na 0.676 0.170 0.145
9 Na 0.170 0.676 0.145
10 Pb 0.319 0.319 0.299
11 Pb 0.681 0.681 0.701

=====

The most stable arrangement is b, and the next structure is 94 meV per atom less stable.

=====

a | Density functional theory data (PBE) for crystalline Na8Tl6Pb at its relaxed geometry.

Results
The magnetization is 0.000 μB/f.u. The symmetry is R-3, No. 148.

abc: 9.231 9.231 8.494
angles: 57.09 57.09 60.00
Fractional positions:
1 Na 0.668 0.668 0.997
2 Na 0.563 0.205 0.353
3 Na 0.120 0.437 0.647
4 Na 0.332 0.332 0.003
5 Na 0.205 0.880 0.353
6 Na 0.880 0.563 0.353
7 Na 0.437 0.795 0.647
8 Na 0.795 0.120 0.647
9 Tl 0.383 0.048 0.855
10 Tl 0.048 0.714 0.855
11 Tl 0.952 0.286 0.145
12 Tl 0.714 0.383 0.855
13 Tl 0.286 0.617 0.145
14 Tl 0.617 0.952 0.145
15 Pb 0.000 0.000 0.000

=====

b | Density functional theory data (PBE) for crystalline Na8Tl6Pb at its relaxed geometry.

Results
The magnetization is 0.000 μB/f.u. The symmetry is R-3, No. 148.

abc: 8.439 8.439 8.439
angles: 63.54 63.54 63.54
Fractional positions:
1 Na 0.136 0.652 0.834
2 Na 0.408 0.408 0.408
3 Na 0.834 0.136 0.652
4 Na 0.652 0.834 0.136
5 Na 0.864 0.348 0.166
6 Na 0.166 0.864 0.348
7 Na 0.348 0.166 0.864
8 Na 0.592 0.592 0.592
9 Tl 0.554 0.281 0.037
10 Tl 0.719 0.963 0.446
11 Tl 0.281 0.037 0.554
12 Tl 0.037 0.554 0.281
13 Tl 0.446 0.719 0.963
14 Tl 0.963 0.446 0.719
15 Pb 0.000 0.000 0.000

=====

The most stable arrangement is b, and the next structure is 7 meV per atom less stable.

=====

a | Density functional theory data (PBE) for crystalline Na3Tl4Pb2 at its relaxed geometry.

Results
The magnetization is 0.000 μB/f.u. The symmetry is C2/c, No. 15.

abc: 5.948 9.723 9.723
angles: 73.62 81.46 81.46
Fractional positions:
1 Tl 0.527 0.071 0.819
2 Tl 0.194 0.739 0.489
3 Tl 0.306 0.511 0.261
4 Tl 0.473 0.929 0.181
5 Tl 0.973 0.181 0.929
6 Tl 0.694 0.489 0.739
7 Tl 0.027 0.819 0.071
8 Tl 0.806 0.261 0.511
9 Na 0.082 0.960 0.712
10 Na 0.418 0.288 0.040
11 Na 0.750 0.625 0.375
12 Na 0.582 0.712 0.960
13 Na 0.250 0.375 0.625
14 Na 0.918 0.040 0.288
15 Pb 0.863 0.402 0.146
16 Pb 0.363 0.146 0.402
17 Pb 0.137 0.598 0.854
18 Pb 0.637 0.854 0.598

=====

b | Density functional theory data (PBE) for crystalline Na3Tl4Pb2 at its relaxed geometry.

Results
The magnetization is 0.000 μB/f.u. The symmetry is P-1, No. 2.

abc: 5.732 6.146 9.762
angles: 61.06 70.22 62.42
Fractional positions:
1 Tl 0.954 0.549 0.669
2 Tl 0.046 0.451 0.331
3 Tl 0.664 0.669 0.999
4 Tl 0.336 0.331 0.001
5 Na 0.377 0.781 0.333
6 Na 0.623 0.219 0.667
7 Na 0.000 0.000 0.000
8 Pb 0.707 0.114 0.336
9 Pb 0.293 0.886 0.664

=====

The most stable arrangement is b, and the next structure is 17 meV per atom less stable.